# NdSm4Tm

A relaxed structure of NdSm4Tm (PBE-GGA, Alexandria).

Lattice parameters (Å, degrees): 5.117 15.346 5.100 90.00 90.00 90.00
Space group Cmmm (No. 65)
One atom of each set of equivalent atoms:
Nd 0.000 0.000 0.000 x2
Sm 0.000 0.166 0.500 x4
Sm 0.000 0.334 0.000 x4
Tm 0.000 0.500 0.500 x2

Properties
density of states at the Fermi level: 16.62 states/eV/cell


# Nd4Sm7Tm

A relaxed structure of Nd4Sm7Tm (PBE-GGA, Alexandria).

Lattice parameters (Å, degrees): 6.597 6.961 9.235 86.42 77.13 83.01
Space group P-1 (No. 2)
One atom of each set of equivalent atoms:
Nd 0.145 0.305 0.282 x2
Nd 0.340 0.891 0.690 x2
Sm 0.010 0.252 0.950 x2
Sm 0.187 0.801 0.358 x2
Sm 0.307 0.400 0.618 x2
Sm 0.500 0.000 0.000 x1
Tm 0.500 0.500 0.000 x1

Properties
density of states at the Fermi level: 19.12 states/eV/cell


# Nd2Sm7Tm

A relaxed structure of Nd2Sm7Tm (PBE-GGA, Alexandria).

Lattice parameters (Å, degrees): 6.676 29.259 3.494 90.00 90.00 90.00
Space group Cmmm (No. 65)
One atom of each set of equivalent atoms:
Nd 0.000 0.205 0.000 x4
Sm 0.000 0.000 0.000 x2
Sm 0.000 0.313 0.500 x4
Sm 0.244 0.402 0.000 x8
Tm 0.000 0.500 0.500 x2

Properties
density of states at the Fermi level: 31.53 states/eV/cell


# Nd5Sm2Tm12

A relaxed structure of Nd5Sm2Tm12 (PBE-GGA, Alexandria).

Lattice parameters (Å, degrees): 17.763 8.969 8.675 90.00 115.30 90.00
Space group C2/m (No. 12)
One atom of each set of equivalent atoms:
Nd 0.000 0.000 0.000 x2
Nd 0.219 0.500 0.734 x4
Nd 0.235 0.000 0.789 x4
Sm 0.000 0.328 0.500 x4
Tm 0.043 0.000 0.682 x4
Tm 0.061 0.500 0.211 x4
Tm 0.125 0.283 0.951 x8
Tm 0.145 0.186 0.404 x8

Properties
density of states at the Fermi level: 55.58 states/eV/cell


# Nd3Sm2Tm7

A relaxed structure of Nd3Sm2Tm7 (PBE-GGA, Alexandria).

Lattice parameters (Å, degrees): 5.792 3.567 18.768 90.00 93.16 90.00
Space group P2/m (No. 10)
One atom of each set of equivalent atoms:
Nd 0.000 0.000 0.000 x1
Nd 0.275 0.500 0.632 x2
Sm 0.211 0.000 0.291 x2
Tm 0.191 0.500 0.142 x2
Tm 0.243 0.000 0.461 x2
Tm 0.307 0.000 0.828 x2
Tm 0.500 0.500 0.000 x1

Properties
density of states at the Fermi level: 13.98 states/eV/cell


# Nd7Sm2Tm4

A relaxed structure of Nd7Sm2Tm4 (PBE-GGA, Alexandria).

Lattice parameters (Å, degrees): 6.2022 6.2022 13.1699 90.00 90.00 120.00
Space group P-31m (No. 162)
One atom of each set of equivalent atoms:
Nd 0.0000 0.0000 0.0000 x1
Nd 0.0000 0.3726 0.2260 x6
Sm 0.3333 0.6667 0.0000 x2
Tm 0.0000 0.0000 0.3928 x2
Tm 0.3333 0.6667 0.5000 x2

Properties
density of states at the Fermi level: 16.49 states/eV/cell


Number 1: DFT formation energy 9 kJ/mol of formula units. Number 2: DFT formation energy 100 kJ/mol of formula units. Number 3: DFT formation energy 147 kJ/mol of formula units. Number 4: DFT formation energy 405 kJ/mol of formula units. Number 5: DFT formation energy 103 kJ/mol of formula units. Number 6: DFT formation energy 228 kJ/mol of formula units.